1.
A plane-wave DFT calculation with GGA-PBE was carried out for a relaxed AcTbPm2Pr4 crystal.

## Properties
For the density, the calculation gives 7.1 g cm⁻³. The uncorrected energy is -37.20 eV per formula unit. Its space-group type is P2/m (10). The calculated volume comes out at 36.2 A^3/atom. The formation energy comes out at 0.02 eV/atom. The crystal system is monoclinic.

a b c (Å): 5.266 5.238 11.742
angles (deg): 63.46 90.00 90.00
Fractional positions:
Pr 0.500 0.742 0.257
Pr 0.000 0.757 0.743
Pr 0.500 0.258 0.743
Tb 0.000 0.500 0.500
Pm 0.500 0.000 0.500
Pm 0.000 0.000 0.000
Ac 0.500 0.500 0.000
Pr 0.000 0.243 0.257

2.
A plane-wave DFT calculation with GGA-PBE was carried out for a relaxed ClF2 crystal.

## Properties
The calculation puts the energy relative to the elements, uncorrected at -0.49 eV/atom. For the density, the calculation gives 2.5 g cm⁻³. The uncorrected energy is -7.05 eV per formula unit. Its space-group type is C2/c (15). The calculated volume comes out at 16.4 A^3/atom. For the relative energy among the computed polymorphs, the calculation gives 0.000 eV per formula unit. The crystal system is monoclinic.

a b c (Å): 4.414 4.414 6.326
angles (deg): 93.60 126.14 93.72
Fractional positions:
Cl 0.683 0.933 0.750
F 0.470 0.210 0.810
F 0.900 0.660 0.690
Cl 0.317 0.067 0.250
F 0.100 0.340 0.310
F 0.530 0.790 0.190

3.
A plane-wave DFT calculation with GGA-PBE was carried out for a relaxed TbY3Hg4 crystal.

## Properties
For the density, the calculation gives 9.8 g cm⁻³. The uncorrected energy is -29.24 eV per formula unit. Its space-group type is P4/mmm (123). The calculated volume comes out at 26.0 A^3/atom. The formation energy comes out at -0.50 eV/atom. The crystal system is tetragonal.

a b c (Å): 3.731 3.731 14.931
angles (deg): 90.00 90.00 90.00
Fractional positions:
Y 0.500 0.500 0.250
Hg 0.000 0.000 0.126
Hg 0.000 0.000 0.874
Y 0.500 0.500 0.750
Hg 0.000 0.000 0.375
Y 0.500 0.500 0.500
Hg 0.000 0.000 0.625
Tb 0.500 0.500 0.000